# Cs3Sm2ErS6 PBE optimized geometry
# Magnetic moment   0.0 μB/cell
# Electronic total energy   -5.265 eV/atom
# Energy relative to the elements, uncorrected   -1.82 eV per atom
data_Cs3Sm2ErS6
_chemical_formula_sum 'Cs3 Sm2 Er1 S6'
_symmetry_space_group_name_H-M 'P 1'
_symmetry_Int_Tables_number 1
_cell_length_a 7.199
_cell_length_b 7.199
_cell_length_c 8.426
_cell_angle_alpha 98.19
_cell_angle_beta 98.19
_cell_angle_gamma 120.00
loop_
_symmetry_equiv_pos_as_xyz
'x,y,z'
loop_
_atom_site_label
_atom_site_fract_x
_atom_site_fract_y
_atom_site_fract_z
Cs1 0.000 0.000 0.000
Cs2 0.332 0.668 0.000
Cs3 0.668 0.332 0.000
Sm1 0.167 0.833 0.500
Sm2 0.833 0.167 0.500
Er1 0.500 0.500 0.500
S1 0.113 0.439 0.317
S2 0.235 0.235 0.684
S3 0.439 0.113 0.317
S4 0.561 0.887 0.683
S5 0.765 0.765 0.316
S6 0.887 0.561 0.683